(1)
Density functional theory data (PBE-GGA) for a relaxed structure of Mg7InGa4.

a = 12.878 Å, b = 5.372 Å, c = 9.521 Å
α = 90.00°, β = 126.13°, γ = 90.00°
Space group C2/m (No. 12)
Symmetry-distinct sites (fractional):
Mg 0.000 0.000 0.000 (multiplicity 2)
Mg 0.062 0.500 0.392 (multiplicity 4)
Mg 0.213 0.000 0.659 (multiplicity 4)
Mg 0.219 0.500 0.875 (multiplicity 4)
In 0.000 0.500 0.000 (multiplicity 2)
Ga 0.059 0.000 0.763 (multiplicity 4)
Ga 0.184 0.000 0.346 (multiplicity 4)

Computed properties:
Uncorrected energy = -51.98 eV for the cell shown


(2)
Density functional theory data (PBE-GGA) for a relaxed structure of AlInSCl2.

a = 4.868 Å, b = 4.868 Å, c = 4.671 Å
α = 90.00°, β = 90.00°, γ = 90.00°
Space group P4/mmm (No. 123)
Symmetry-distinct sites (fractional):
Al 0.000 0.000 0.000 (multiplicity 1)
In 0.500 0.500 0.500 (multiplicity 1)
S 0.000 0.000 0.500 (multiplicity 1)
Cl 0.000 0.500 0.000 (multiplicity 2)

Computed properties:
Raw formation energy = -0.83 eV per atom


(3)
Density functional theory data (PBE-GGA) for a relaxed structure of CsZn4.

a = 7.254 Å, b = 7.254 Å, c = 7.254 Å
α = 90.00°, β = 90.00°, γ = 90.00°
Space group Pm-3m (No. 221)
Symmetry-distinct sites (fractional):
Cs 0.000 0.000 0.000 (multiplicity 1)
Zn 0.000 0.000 0.500 (multiplicity 3)
Zn 0.500 0.500 0.500 (multiplicity 1)

Computed properties:
Uncorrected energy = -1.72 eV for the cell shown